[1]
DFT (PBE-GGA) results for crystalline ScFeCl2 at its relaxed geometry.

Cell lengths 9.0830, 9.0830, 9.0830 Å; angles 21.58, 21.58, 21.58 degrees
Positions (direct):
Sc: 0.0000 0.0000 0.0000
Fe: 0.2552 0.2552 0.2552
Cl: 0.5340 0.5340 0.5340
Cl: 0.7291 0.7291 0.7291

Properties
Formation energy from raw total energies ... -0.892 eV/atom
Energy above the most stable polymorph in this dataset ... 0 meV/atom

[2]
DFT (PBE-GGA) results for crystalline ScFeCl2 at its relaxed geometry.

Cell lengths 4.7442, 4.7442, 4.7442 Å; angles 60.00, 60.00, 60.00 degrees
Positions (direct):
Sc: 0.0000 0.0000 0.0000
Fe: 0.2500 0.2500 0.2500
Cl: 0.5000 0.5000 0.5000
Cl: 0.7500 0.7500 0.7500

Properties
Formation energy from raw total energies ... -0.032 eV/atom
Energy above the most stable polymorph in this dataset ... 859 meV/atom

[3]
DFT (PBE-GGA) results for crystalline ScFe2Cl at its relaxed geometry.

Cell lengths 3.5366, 3.5366, 4.9690 Å; angles 90.00, 90.00, 90.00 degrees
Positions (direct):
Sc: 0.0000 0.0000 0.0000
Fe: 0.0000 0.5000 0.5000
Fe: 0.5000 0.0000 0.5000
Cl: 0.5000 0.5000 0.0000

Properties
Formation energy from raw total energies ... 0.032 eV/atom
Energy above the most stable polymorph in this dataset ... 300 meV/atom

[4]
DFT (PBE-GGA) results for crystalline ScFeCl2 at its relaxed geometry.

Cell lengths 3.3801, 3.3801, 8.1235 Å; angles 90.00, 90.00, 124.90 degrees
Positions (direct):
Sc: 0.0000 0.0000 0.0000
Fe: 0.0000 0.0000 0.5000
Cl: 0.5000 0.5000 0.2649
Cl: 0.5000 0.5000 0.7351

Properties
Formation energy from raw total energies ... -0.363 eV/atom
Energy above the most stable polymorph in this dataset ... 529 meV/atom

[5]
DFT (PBE-GGA) results for crystalline ScFeCl2 at its relaxed geometry.

Cell lengths 3.5011, 4.0876, 5.2524 Å; angles 90.00, 93.46, 90.00 degrees
Positions (direct):
Sc: 0.0000 0.0000 0.0000
Fe: 0.5000 0.0000 0.5000
Cl: 0.2671 0.5000 0.2583
Cl: 0.7329 0.5000 0.7417

Properties
Formation energy from raw total energies ... -0.424 eV/atom
Energy above the most stable polymorph in this dataset ... 468 meV/atom

[6]
DFT (PBE-GGA) results for crystalline ScFe3Cl9 at its relaxed geometry.

Cell lengths 9.6808, 9.6808, 12.5471 Å; angles 122.79, 122.79, 55.06 degrees
Positions (direct):
Sc: 0.2247 0.7753 0.5000
Sc: 0.7753 0.2247 0.0000
Fe: 0.0129 0.2529 0.8196
Fe: 0.2529 0.0129 0.3196
Fe: 0.2924 0.4386 0.6704
Fe: 0.4386 0.2924 0.1704
Fe: 0.6811 0.7828 0.2199
Fe: 0.7828 0.6811 0.7199
Cl: 0.0854 0.1628 0.1688
Cl: 0.0926 0.9112 0.3237
Cl: 0.1628 0.0854 0.6688
Cl: 0.1848 0.4020 0.0084
Cl: 0.3116 0.6767 0.6850
Cl: 0.3482 0.4554 0.3573
Cl: 0.4020 0.1848 0.5084
Cl: 0.4554 0.3482 0.8573
Cl: 0.4693 0.7610 0.2351
Cl: 0.5156 0.7851 0.5611
Cl: 0.5338 0.9946 0.1226
Cl: 0.6767 0.3116 0.1850
Cl: 0.7610 0.4693 0.7351
Cl: 0.7851 0.5156 0.0611
Cl: 0.8009 0.9116 0.9231
Cl: 0.9112 0.0926 0.8237
Cl: 0.9116 0.8009 0.4231
Cl: 0.9946 0.5338 0.6226

Properties
Formation energy from raw total energies ... -1.072 eV/atom

[7]
DFT (PBE-GGA) results for crystalline ScFeCl2 at its relaxed geometry.

Cell lengths 6.9853, 6.9853, 4.1436 Å; angles 93.17, 93.17, 28.14 degrees
Positions (direct):
Sc: 0.0000 0.0000 0.0000
Fe: 0.5000 0.5000 0.5000
Cl: 0.3658 0.3658 0.7787
Cl: 0.6342 0.6342 0.2213

Properties
Formation energy from raw total energies ... -0.780 eV/atom
Energy above the most stable polymorph in this dataset ... 112 meV/atom

[8]
DFT (PBE-GGA) results for crystalline ScFe2Cl at its relaxed geometry.

Cell lengths 5.0225, 5.0225, 5.0225 Å; angles 142.98, 121.60, 71.19 degrees
Positions (direct):
Sc: 0.0000 0.0000 0.0000
Fe: 0.4878 0.4878 0.0000
Fe: 0.7012 0.2012 0.5000
Cl: 0.2702 0.7702 0.5000

Properties
Formation energy from raw total energies ... 0.143 eV/atom
Energy above the most stable polymorph in this dataset ... 411 meV/atom

[9]
DFT (PBE-GGA) results for crystalline ScFeCl2 at its relaxed geometry.

Cell lengths 8.5116, 8.5116, 8.5116 Å; angles 22.05, 22.05, 22.05 degrees
Positions (direct):
Sc: 0.0000 0.0000 0.0000
Fe: 0.5000 0.5000 0.5000
Cl: 0.4044 0.4044 0.4044
Cl: 0.5956 0.5956 0.5956

Properties
Formation energy from raw total energies ... -0.605 eV/atom
Energy above the most stable polymorph in this dataset ... 286 meV/atom

[10]
DFT (PBE-GGA) results for crystalline ScFe2Cl at its relaxed geometry.

Cell lengths 3.0617, 3.0617, 7.9820 Å; angles 90.00, 90.00, 90.00 degrees
Positions (direct):
Sc: 0.0000 0.0000 0.0000
Fe: 0.0000 0.0000 0.6372
Fe: 0.5000 0.5000 0.7756
Cl: 0.5000 0.5000 0.2047

Properties
Formation energy from raw total energies ... -0.262 eV/atom
Energy above the most stable polymorph in this dataset ... 6 meV/atom

[11]
DFT (PBE-GGA) results for crystalline Sc3FeCl at its relaxed geometry.

Cell lengths 4.7299, 4.7299, 4.7299 Å; angles 90.00, 90.00, 90.00 degrees
Positions (direct):
Sc: 0.0000 0.0000 0.5000
Sc: 0.0000 0.5000 0.0000
Sc: 0.5000 0.0000 0.0000
Fe: 0.5000 0.5000 0.5000
Cl: 0.0000 0.0000 0.0000

Properties
Formation energy from raw total energies ... -0.053 eV/atom
Energy above the most stable polymorph in this dataset ... 18 meV/atom

[12]
DFT (PBE-GGA) results for crystalline ScFe2Cl at its relaxed geometry.

Cell lengths 4.4699, 4.4699, 4.4699 Å; angles 60.00, 60.00, 60.00 degrees
Positions (direct):
Sc: 0.0000 0.0000 0.0000
Fe: 0.5000 0.5000 0.5000
Fe: 0.7500 0.7500 0.7500
Cl: 0.2500 0.2500 0.2500

Properties
Formation energy from raw total energies ... 0.287 eV/atom
Energy above the most stable polymorph in this dataset ... 555 meV/atom